(1)
The following is a PBE calculation of a relaxed structure of Tm3CBr3, from the Alexandria database.

Properties
The volume is 380.0 Å³ per cell. Its magnetization is 0.00 μB/cell. Its energy relative to the elements, uncorrected is -1291 meV per atom.

Lattice parameters (Å, degrees): 6.4437 6.4437 11.2043 73.29 73.29 60.00
Sites, in units of the cell vectors:
Br: 0.7741 0.1016 0.6950
Br: 0.8984 0.5708 0.3050
Br: 0.1016 0.4292 0.6950
Br: 0.5708 0.2259 0.3050
Br: 0.4292 0.7741 0.6950
Br: 0.2259 0.8984 0.3050
Tm: 0.6896 0.3943 0.8742
Tm: 0.6057 0.9581 0.1258
Tm: 0.3943 0.0419 0.8742
Tm: 0.3104 0.6057 0.1258
Tm: 0.0419 0.6896 0.8742
Tm: 0.9581 0.3104 0.1258
C: 0.6667 0.6667 0.0000
C: 0.3333 0.3333 0.0000

---

(2)
The following is a PBE calculation of a relaxed structure of Tm7CBr12, from the Alexandria database.

Properties
The volume is 565.5 Å³ per cell. Its magnetization is 0.55 μB/cell. Its energy relative to the elements, uncorrected is -1541 meV per atom.

Lattice parameters (Å, degrees): 8.8558 8.8558 8.8558 107.79 107.79 107.79
Sites, in units of the cell vectors:
C: 0.0000 0.0000 0.0000
Br: 0.7741 0.9225 0.3116
Br: 0.8463 0.6126 0.5326
Br: 0.6884 0.2259 0.0775
Br: 0.2259 0.0775 0.6884
Br: 0.5326 0.8463 0.6126
Br: 0.9225 0.3116 0.7741
Br: 0.3874 0.4674 0.1537
Br: 0.3116 0.7741 0.9225
Br: 0.6126 0.5326 0.8463
Br: 0.4674 0.1537 0.3874
Br: 0.0775 0.6884 0.2259
Br: 0.1537 0.3874 0.4674
Tm: 0.2993 0.1011 0.0322
Tm: 0.1011 0.0322 0.2993
Tm: 0.5000 0.5000 0.5000
Tm: 0.7007 0.8989 0.9678
Tm: 0.0322 0.2993 0.1011
Tm: 0.8989 0.9678 0.7007
Tm: 0.9678 0.7007 0.8989

---

(3)
The following is a PBE calculation of a relaxed structure of VCBr2, from the Alexandria database.

Properties
The volume is 195.7 Å³ per cell. Its magnetization is 10.00 μB/cell. Its energy relative to the elements, uncorrected is 1403 meV per atom.

Lattice parameters (Å, degrees): 6.9850 6.9850 6.3621 56.70 56.70 90.00
Sites, in units of the cell vectors:
Br: 0.3750 0.3405 0.7500
Br: 0.0905 0.6250 0.2500
Br: 0.6595 0.1250 0.2500
Br: 0.8750 0.9095 0.7500
V: 0.0000 0.0000 0.0000
V: 0.7500 0.2500 0.5000
C: 0.2500 0.7500 0.5000
C: 0.5000 0.5000 0.0000

---

(4)
The following is a PBE calculation of a relaxed structure of V3CBr, from the Alexandria database.

Properties
The volume is 67.9 Å³ per cell. Its magnetization is 0.00 μB/cell. Its energy relative to the elements, uncorrected is 403 meV per atom.

Lattice parameters (Å, degrees): 4.0792 4.0792 4.0792 90.00 90.00 90.00
Sites, in units of the cell vectors:
C: 0.0000 0.0000 0.0000
V: 0.0000 0.5000 0.0000
V: 0.0000 0.0000 0.5000
V: 0.5000 0.0000 0.0000
Br: 0.5000 0.5000 0.5000

---

(5)
The following is a PBE calculation of a relaxed structure of VCBr2, from the Alexandria database.

Properties
The volume is 66.9 Å³ per cell. Its magnetization is 1.14 μB/cell. Its energy relative to the elements, uncorrected is 1529 meV per atom.

Lattice parameters (Å, degrees): 4.5577 4.5577 4.5577 60.00 60.00 60.00
Sites, in units of the cell vectors:
Br: 0.7500 0.7500 0.7500
Br: 0.2500 0.2500 0.2500
C: 0.0000 0.0000 0.0000
V: 0.5000 0.5000 0.5000

---

(6)
The following is a PBE calculation of a relaxed structure of VCBr2, from the Alexandria database.

Properties
The volume is 101.5 Å³ per cell. Its magnetization is 5.00 μB/cell. Its energy relative to the elements, uncorrected is 1208 meV per atom.

Lattice parameters (Å, degrees): 8.0361 8.0361 8.0361 28.07 28.07 28.07
Sites, in units of the cell vectors:
Br: 0.8944 0.8944 0.8944
Br: 0.1056 0.1056 0.1056
C: 0.0000 0.0000 0.0000
V: 0.5000 0.5000 0.5000

---

(7)
The following is a PBE calculation of a relaxed structure of VCBr3, from the Alexandria database.

Properties
The volume is 106.7 Å³ per cell. Its magnetization is 3.77 μB/cell. Its energy relative to the elements, uncorrected is 1188 meV per atom.

Lattice parameters (Å, degrees): 4.7431 4.7431 4.7431 90.00 90.00 90.00
Sites, in units of the cell vectors:
Br: 0.0000 0.0000 0.5000
Br: 0.0000 0.5000 0.0000
Br: 0.5000 0.0000 0.0000
C: 0.0000 0.0000 0.0000
V: 0.5000 0.5000 0.5000

---

(8)
The following is a PBE calculation of a relaxed structure of VCBr3, from the Alexandria database.

Properties
The volume is 129.8 Å³ per cell. Its magnetization is 4.00 μB/cell. Its energy relative to the elements, uncorrected is 1004 meV per atom.

Lattice parameters (Å, degrees): 5.0627 5.0627 5.0627 90.00 90.00 90.00
Sites, in units of the cell vectors:
Br: 0.0000 0.5000 0.0000
Br: 0.5000 0.0000 0.0000
Br: 0.0000 0.0000 0.5000
V: 0.0000 0.0000 0.0000
C: 0.5000 0.5000 0.5000